No. 1
An optimized crystal structure of ZnAgI2F. Source: Alexandria, functional PBEsol.

Output
uncorrected energy	-0.08498	Ha/atom
magnetization	0.00	μB per formula unit
N(E_F)	0.510	states/eV per atom
formation energy from raw total energies	-0.242	eV/atom

The structure in POSCAR format:
```
ZnAgI2F
1.0
5.559 0.000 0.000
0.000 5.559 0.000
0.000 0.000 4.154
Zn Ag I F
1 1 2 1
direct
0.000 0.000 0.000
0.500 0.500 0.500
0.000 0.500 0.500
0.500 0.000 0.500
0.500 0.500 0.000
```



No. 2
An optimized crystal structure of K2SiRu. Source: Alexandria, functional PBEsol.

Output
uncorrected energy	-0.12812	Ha/atom
magnetization	0.68	μB per formula unit
N(E_F)	0.687	states/eV per atom
formation energy from raw total energies	1.060	eV/atom

The structure in POSCAR format:
```
K2SiRu
1.0
1.442 0.833 11.261
-1.442 0.833 11.261
0.000 -1.665 11.261
K Si Ru
2 1 1
direct
0.248 0.248 0.248
0.752 0.752 0.752
0.000 0.000 0.000
0.500 0.500 0.500
```



No. 3
An optimized crystal structure of TlSb2TeMo. Source: Alexandria, functional PBEsol.

Output
uncorrected energy	-0.13754	Ha/atom
magnetization	3.42	μB per formula unit
N(E_F)	0.885	states/eV per atom
formation energy from raw total energies	1.665	eV/atom

The structure in POSCAR format:
```
TlSb2TeMo
1.0
5.511 0.000 0.000
0.000 5.511 0.000
0.000 0.000 5.568
Tl Sb Te Mo
1 2 1 1
direct
0.000 0.000 0.000
0.000 0.500 0.000
0.500 0.000 0.000
0.000 0.000 0.500
0.500 0.500 0.500
```



No. 4
An optimized crystal structure of MgBeRu2. Source: Alexandria, functional PBEsol.

Output
uncorrected energy	-0.23432	Ha/atom
magnetization	0.00	μB per formula unit
N(E_F)	1.016	states/eV per atom

The structure in POSCAR format:
```
MgBeRu2
1.0
-1.454 2.080 4.228
1.454 -2.080 4.228
1.454 2.080 -4.228
Mg Be Ru
1 1 2
direct
0.000 0.000 0.000
0.744 0.244 0.500
0.269 0.769 0.500
0.520 0.520 0.000
```